1.
# PBE Bi5TePt3, relaxed
# Total magnetic moment = 0.0000 μB per atom
# Energy relative to the elements, uncorrected = -0.093 eV per atom
# VASP energy = -0.1695 Ha/atom
data_Bi5TePt3
_cell_length_a 12.000
_cell_length_b 9.061
_cell_length_c 10.241
_cell_angle_alpha 90.00
_cell_angle_beta 109.00
_cell_angle_gamma 90.00
_symmetry_space_group_name_H-M 'C 1 2/m 1'
_symmetry_Int_Tables_number 12
_symmetry_space_group_name_Hall '-C 2y'
loop_
_atom_site_label
_atom_site_type_symbol
_atom_site_fract_x
_atom_site_fract_y
_atom_site_fract_z
_atom_site_occupancy
Bi1 Bi 0.000 0.194 0.000 1
Bi2 Bi 0.064 0.000 0.378 1
Bi3 Bi 0.190 0.298 0.623 1
Bi4 Bi 0.242 0.500 0.035 1
Te1 Te 0.084 0.500 0.283 1
Pt1 Pt 0.000 0.500 0.000 1
Pt2 Pt 0.000 0.500 0.500 1
Pt3 Pt 0.164 0.000 0.178 1
Pt4 Pt 0.175 0.000 0.679 1

***

2.
# PBE Bi3TePt2, relaxed
# Total magnetic moment = 0.0000 μB per atom
# Energy relative to the elements, uncorrected = -0.291 eV per atom
# VASP energy = -0.1752 Ha/atom
data_Bi3TePt2
_cell_length_a 8.2373
_cell_length_b 8.2373
_cell_length_c 5.6137
_cell_angle_alpha 90.00
_cell_angle_beta 90.00
_cell_angle_gamma 120.00
_symmetry_space_group_name_H-M 'P -3 m 1'
_symmetry_Int_Tables_number 164
_symmetry_space_group_name_Hall '-P 3 2"'
loop_
_atom_site_label
_atom_site_type_symbol
_atom_site_fract_x
_atom_site_fract_y
_atom_site_fract_z
_atom_site_occupancy
Bi1 Bi 0.1639 0.3277 0.2324 1
Te1 Te 0.3333 0.6667 0.7191 1
Pt1 Pt 0.0000 0.0000 0.5000 1
Pt2 Pt 0.0000 0.5000 0.5000 1